1.
# Sr3Sn2H | the Alexandria database | PBE | optimized geometry
# Uncorrected energy, eV/cell: -78.4
data_Sr3Sn2H
_chemical_formula_sum 'Sr12 Sn8 H4'
_space_group_name_H-M_alt 'C 1 2/c 1'
_space_group_IT_number 15
_space_group_name_Hall '-C 2yc'
_cell_length_a 12.7899
_cell_length_b 6.8739
_cell_length_c 9.0313
_cell_angle_alpha 90.00
_cell_angle_beta 101.03
_cell_angle_gamma 90.00
loop_
_atom_site_label
_atom_site_fract_x
_atom_site_fract_y
_atom_site_fract_z
Sr1 0.0000 0.1213 0.2500
Sr2 0.1428 0.3790 0.6576
Sn1 0.1626 0.1232 0.0070
H1 0.0000 0.4618 0.2500

2.
# Ac3CuSi3 | the Alexandria database | PBE | optimized geometry
# Uncorrected energy, eV/cell: -73.3
# Formation energy without anion corrections, meV per atom: -562.8
data_Ac3CuSi3
_chemical_formula_sum 'Ac6 Cu2 Si6'
_space_group_name_H-M_alt 'I m m 2'
_space_group_IT_number 44
_space_group_name_Hall 'I 2 -2'
_cell_length_a 4.1745
_cell_length_b 4.6027
_cell_length_c 19.1040
_cell_angle_alpha 90.00
_cell_angle_beta 90.00
_cell_angle_gamma 90.00
loop_
_atom_site_label
_atom_site_fract_x
_atom_site_fract_y
_atom_site_fract_z
Ac1 0.0000 0.0000 0.0000
Ac2 0.0000 0.0000 0.3658
Ac3 0.0000 0.5000 0.6833
Cu1 0.0000 0.5000 0.1163
Si1 0.0000 0.0000 0.5519
Si2 0.0000 0.0000 0.8162
Si3 0.0000 0.5000 0.2409

3.
# CdH | the Alexandria database | PBE | optimized geometry
# Uncorrected energy, eV/cell: -21.6
data_CdH
_chemical_formula_sum 'Cd6 H6'
_space_group_name_H-M_alt 'P m m n'
_space_group_IT_number 59
_cell_length_a 3.0721
_cell_length_b 9.5425
_cell_length_c 6.0217
_cell_angle_alpha 90.00
_cell_angle_beta 90.00
_cell_angle_gamma 90.00
loop_
_space_group_symop_operation_xyz
'x,y,z'
'-x,-y,-z'
'-x+1/2,-y+1/2,z'
'x+1/2,y+1/2,-z'
'x+1/2,-y,-z'
'-x+1/2,y,z'
'-x,y+1/2,-z'
'x,-y+1/2,z'
loop_
_atom_site_label
_atom_site_fract_x
_atom_site_fract_y
_atom_site_fract_z
Cd1 0.2500 0.0939 0.1684
Cd2 0.2500 0.7500 0.3769
H1 0.2500 0.2500 0.8627
H2 0.2500 0.5615 0.3902

4.
# SrCo3Br | the Alexandria database | PBE | optimized geometry
# Uncorrected energy, eV/cell: -14.3
# Formation energy without anion corrections, meV per atom: 2068.9
data_SrCo3Br
_chemical_formula_sum 'Sr1 Co3 Br1'
_space_group_name_H-M_alt 'P m -3 m'
_space_group_IT_number 221
_space_group_name_Hall '-P 4 2 3'
_cell_length_a 5.0502
_cell_length_b 5.0502
_cell_length_c 5.0502
_cell_angle_alpha 90.00
_cell_angle_beta 90.00
_cell_angle_gamma 90.00
loop_
_atom_site_label
_atom_site_fract_x
_atom_site_fract_y
_atom_site_fract_z
Sr1 0.0000 0.0000 0.0000
Co1 0.0000 0.0000 0.5000
Br1 0.5000 0.5000 0.5000

5.
# VH2Os2 | the Alexandria database | PBE | optimized geometry
# Uncorrected energy, eV/cell: -74.2
data_VH2Os2
_chemical_formula_sum 'V2 H4 Os4'
_space_group_name_H-M_alt 'P 4/m b m'
_space_group_IT_number 127
_space_group_name_Hall '-P 4 2ab'
_cell_length_a 5.7270
_cell_length_b 5.7270
_cell_length_c 2.9941
_cell_angle_alpha 90.00
_cell_angle_beta 90.00
_cell_angle_gamma 90.00
loop_
_atom_site_label
_atom_site_fract_x
_atom_site_fract_y
_atom_site_fract_z
V1 0.0000 0.0000 0.0000
H1 0.2149 0.2851 0.0000
Os1 0.1587 0.6587 0.5000

6.
# BaSc3Te4O12 | the Alexandria database | PBE | optimized geometry
# Uncorrected energy, eV/cell: -393.4
# Formation energy without anion corrections, meV per atom: -1907.5
data_BaSc3Te4O12
_chemical_formula_sum 'Ba3 Sc9 Te12 O36'
_space_group_name_H-M_alt 'R 3 2'
_space_group_IT_number 155
_space_group_name_Hall 'R 3 2"'
_cell_length_a 11.1464
_cell_length_b 11.1464
_cell_length_c 8.7788
_cell_angle_alpha 90.00
_cell_angle_beta 90.00
_cell_angle_gamma 120.00
loop_
_atom_site_label
_atom_site_fract_x
_atom_site_fract_y
_atom_site_fract_z
Ba1 0.0000 0.0000 0.0000
Sc1 0.0000 0.5794 0.0000
Te1 0.0000 0.0000 0.5000
Te2 0.0000 0.3967 0.5000
O1 0.0000 0.5713 0.5000
O2 0.0000 0.8130 0.5000
O3 0.0494 0.1849 0.2501